SiTc2Rh after structural relaxation. Source: the Alexandria database, functional PBEsol.

Structure (CIF):
```
data_SiTc2Rh
_cell_length_a 2.7946
_cell_length_b 3.9075
_cell_length_c 4.9482
_cell_angle_alpha 90.00
_cell_angle_beta 90.00
_cell_angle_gamma 90.00
_space_group_name_H-M_alt 'P m m m'
_space_group_IT_number 47
loop_
_space_group_symop_operation_xyz
'x,y,z'
'-x,-y,-z'
'-x,-y,z'
'x,y,-z'
'x,-y,-z'
'-x,y,z'
'-x,y,-z'
'x,-y,z'
loop_
_atom_site_label
_atom_site_fract_x
_atom_site_fract_y
_atom_site_fract_z
_atom_site_occupancy
Si1 0.0000 0.0000 0.0000 1
Tc1 0.5000 0.5000 0.2356 1
Rh1 0.0000 0.0000 0.5000 1
```

Values from the calculation:
N(E_F) ... 1.10 states/eV per atom
Total magnetic moment ... 0.00 μB/cell
Uncorrected energy ... -9.27 eV per atom
Formation energy from raw total energies ... -0.17 eV/atom